# 1
4
Lattice="1.457 0.841 9.400 -1.457 0.841 9.400 0.000 -1.682 9.400" Properties=species:S:1:pos:R:3 comment="FeReHg2, relaxed, DFT PBE-GGA" delta_e_f_ev_per_fu=2.94 energy_ev_per_atom=-4.644 total_magnetization_mub_per_atom=0.752 n_ef_per_ev_cell=3.6 de_polymorph_ev_per_atom=0.328 pbc="T T T"
Fe 0.000 0.000 0.000
Re 0.000 0.000 14.099
Hg 0.000 0.000 7.125
Hg 0.000 0.000 21.074

=====

# 2
4
Lattice="2.867 0.000 0.000 0.000 2.867 0.000 0.000 0.000 7.221" Properties=species:S:1:pos:R:3 comment="Fe2ReHg, relaxed, DFT PBE-GGA" delta_e_f_ev_per_fu=1.52 energy_ev_per_atom=-7.038 total_magnetization_mub_per_atom=1.172 n_ef_per_ev_cell=3.0 de_polymorph_ev_per_atom=0.034 pbc="T T T"
Fe 0.000 0.000 0.000
Fe 1.433 1.433 1.448
Re 1.433 1.433 5.735
Hg 0.000 0.000 3.485

=====

# 3
4
Lattice="5.394 -1.457 0.000 5.394 1.457 0.000 -1.935 0.000 4.530" Properties=species:S:1:pos:R:3 comment="FeReHg2, relaxed, DFT PBE-GGA" delta_e_f_ev_per_fu=2.80 energy_ev_per_atom=-4.679 total_magnetization_mub_per_atom=0.740 n_ef_per_ev_cell=2.4 de_polymorph_ev_per_atom=0.293 pbc="T T T"
Fe 0.000 0.000 0.000
Re 1.962 0.000 3.257
Hg 4.861 0.000 2.453
Hg 7.902 0.000 0.830

=====

# 4
4
Lattice="4.513 0.000 0.000 0.000 4.513 0.000 0.000 0.000 2.892" Properties=species:S:1:pos:R:3 comment="Fe2ReHg, relaxed, DFT PBE-GGA" delta_e_f_ev_per_fu=2.28 energy_ev_per_atom=-6.848 total_magnetization_mub_per_atom=1.322 n_ef_per_ev_cell=4.6 de_polymorph_ev_per_atom=0.224 pbc="T T T"
Fe 0.000 2.257 0.000
Fe 2.257 0.000 0.000
Re 0.000 0.000 1.446
Hg 2.257 2.257 1.446

=====

# 5
4
Lattice="1.447 0.835 9.826 -1.447 0.835 9.826 0.000 -1.670 9.826" Properties=species:S:1:pos:R:3 comment="FeReHg2, relaxed, DFT PBE-GGA" delta_e_f_ev_per_fu=1.91 energy_ev_per_atom=-4.902 total_magnetization_mub_per_atom=0.404 n_ef_per_ev_cell=2.9 de_polymorph_ev_per_atom=0.070 pbc="T T T"
Fe 0.000 0.000 0.000
Re 0.000 0.000 21.483
Hg 0.000 0.000 7.482
Hg 0.000 0.000 14.252

=====

# 6
4
Lattice="2.812 0.000 0.000 0.000 3.635 0.000 0.000 0.000 5.764" Properties=species:S:1:pos:R:3 comment="Fe2ReHg, relaxed, DFT PBE-GGA" delta_e_f_ev_per_fu=1.56 energy_ev_per_atom=-7.030 total_magnetization_mub_per_atom=0.905 n_ef_per_ev_cell=3.9 de_polymorph_ev_per_atom=0.042 pbc="T T T"
Fe 0.000 0.000 1.176
Fe 0.000 0.000 4.587
Re 1.406 1.818 0.000
Hg 1.406 1.818 2.882